First-principles (PBE) data for crystalline DyHoTh2 at its relaxed geometry, as listed in Alexandria.

* magnetization: 0.00 μB per cell
* E_form: 0.0487 eV/atom
* E above lowest polymorph: 0.0184 eV/atom

Cell: 3.5516 3.5516 10.0892 Å, 90.00 90.00 90.00°
Closest atoms and distances in Å follow each position.
Space group P4/mmm (No. 123)
Inequivalent atoms, fractional coordinates:
1 Dy 0.0000 0.0000 0.0000 x1  4 Dy 3.55, 8 Th 3.56
2 Ho 0.0000 0.0000 0.5000 x1  4 Ho 3.55, 8 Th 3.56
3 Th 0.5000 0.5000 0.2505 x2  4 Th 3.55, 4 Ho 3.56, 4 Dy 3.56

=====

First-principles (PBE) data for crystalline KSi2Sb2 at its relaxed geometry, as listed in Alexandria.

* magnetization: 0.00 μB per cell
* energy relative to the elements, uncorrected: 218 meV per atom
* E above lowest polymorph: 0.1079 eV/atom

Cell: 8.3782 8.3782 3.6933 Å, 90.00 90.00 90.00°
Closest atoms and distances in Å follow each position.
Space group P4/mbm (No. 127)
Inequivalent atoms, fractional coordinates:
1 K 0.0000 0.0000 0.0000 x2  4 Si 3.42, 8 Sb 3.65, 2 K 3.69
2 Si 0.1058 0.3942 0.0000 x4  1 Si 2.51
3 Sb 0.1595 0.6595 0.5000 x4  4 Si 2.92

=====

First-principles (PBE) data for crystalline KLi3Re at its relaxed geometry, as listed in Alexandria.

* magnetization: 2.65 μB per cell
* E_form: 1.1025 eV/atom
* E above lowest polymorph: 0.0000 eV/atom

Cell: 5.2268 5.2268 5.2268 Å, 90.00 90.00 90.00°
Closest atoms and distances in Å follow each position.
Space group Pm-3m (No. 221)
Inequivalent atoms, fractional coordinates:
1 K 0.0000 0.0000 0.0000 x1  12 Li 3.70
2 Li 0.0000 0.5000 0.5000 x3  2 Re 2.61
3 Re 0.5000 0.5000 0.5000 x1  6 Li 2.61

=====

First-principles (PBE) data for crystalline KSr2ScAl at its relaxed geometry, as listed in Alexandria.

* magnetization: 1.38 μB per cell
* E_form: 1.0836 eV/atom

Cell: 6.1790 6.1790 5.5734 Å, 90.00 90.00 90.00°
Closest atoms and distances in Å follow each position.
Space group P4/mmm (No. 123)
Inequivalent atoms, fractional coordinates:
1 K 0.0000 0.0000 0.0000 x1  2 Al 2.79, 4 Sr 3.09
2 Sr 0.0000 0.5000 0.0000 x2  2 K 3.09
3 Sc 0.5000 0.5000 0.5000 x1  8 Sr 4.16, 4 Al 4.37
4 Al 0.0000 0.0000 0.5000 x1  2 K 2.79

=====

First-principles (PBE) data for crystalline Si2MoIr at its relaxed geometry, as listed in Alexandria.

* magnetization: 0.00 μB per cell
* energy relative to the elements, uncorrected: -96 meV per atom

Cell: 2.8815 2.8815 23.9640 Å, 90.00 90.00 120.00°
Closest atoms and distances in Å follow each position.
Space group R3m (No. 160, hexagonal axes)
Inequivalent atoms, fractional coordinates:
1 Si 0.0000 0.0000 0.0000 x3  3 Si 2.53, 3 Mo 2.61
2 Si 0.0000 0.0000 0.2538 x3  3 Ir 2.48, 3 Si 2.53
3 Mo 0.0000 0.0000 0.7504 x3  3 Si 2.61, 3 Ir 2.79, 6 Mo 2.88
4 Ir 0.0000 0.0000 0.5107 x3  3 Si 2.48

=====

First-principles (PBE) data for crystalline MgMn2Tl at its relaxed geometry, as listed in Alexandria.

* magnetization: 11.99 μB per cell
* E_form: 0.5562 eV/atom

Cell: 3.0331 3.0331 26.5803 Å, 90.00 90.00 120.00°
Closest atoms and distances in Å follow each position.
Space group R3m (No. 160, hexagonal axes)
Inequivalent atoms, fractional coordinates:
1 Mg 0.0000 0.0000 0.0000 x3  3 Mn 2.79, 6 Mg 3.03
2 Mn 0.0000 0.0000 0.4766 x3  3 Mn 2.40
3 Mn 0.0000 0.0000 0.7482 x3  3 Mn 2.40
4 Tl 0.0000 0.0000 0.2315 x3  3 Mn 2.93, 6 Tl 3.03, 3 Mg 3.22

=====

First-principles (PBE) data for crystalline P7Rh12 at its relaxed geometry, as listed in Alexandria.

* magnetization: 0.00 μB per cell
* E_form: -0.6156 eV/atom

Cell: 9.1575 9.1575 3.5349 Å, 90.00 90.00 120.00°
Closest atoms and distances in Å follow each position.
Space group P-6 (No. 174)
Inequivalent atoms, fractional coordinates:
1 P 0.0000 0.0000 0.0000 x1  3 Rh 2.25
2 P 0.1628 0.4441 0.5000 x3  8 Rh 2.38-2.52
3 P 0.4430 0.2847 0.0000 x3  8 Rh 2.43-2.50
4 Rh 0.0148 0.2526 0.0000 x3  4 P 2.25-2.43
5 Rh 0.1318 0.6145 0.0000 x3  5 P 2.44-2.52
6 Rh 0.2393 0.2285 0.5000 x3  3 P 2.40-2.43
7 Rh 0.5137 0.1395 0.5000 x3  5 P 2.48-2.51

=====

First-principles (PBE) data for crystalline Er2Tm2In at its relaxed geometry, as listed in Alexandria.

* magnetization: 0.00 μB per cell
* E_form: 0.3058 eV/atom
* E above lowest polymorph: 0.4631 eV/atom

Cell: 4.2791 4.2791 17.1771 Å, 90.00 90.00 90.00°
Closest atoms and distances in Å follow each position.
Space group I4/mmm (No. 139)
Inequivalent atoms, fractional coordinates:
1 Er 0.0000 0.5000 0.2500 x4  4 Er 3.03
2 Tm 0.0000 0.0000 0.0908 x4  1 Tm 3.12, 4 In 3.40, 4 Er 3.47
3 In 0.0000 0.0000 0.5000 x2  8 Tm 3.40

=====

> Look up the magnetization of the second one.

0.00 μB per cell

=====

> Number 7 is which compound?

P7Rh12